Entry 1:
# Sc2CuIr | OQMD | PBE | relaxed
# Magnetic moment = 0.00 μB/atom
# Calculated formation energy = -0.703 eV per atom
# DFT total energy = -7.01 eV per atom
data_Sc2CuIr
_cell_length_a 4.580
_cell_length_b 4.580
_cell_length_c 6.458
_cell_angle_alpha 90.00
_cell_angle_beta 90.00
_cell_angle_gamma 90.00
_symmetry_space_group_name_H-M 'I 4/m m m'
_symmetry_Int_Tables_number 139
_symmetry_space_group_name_Hall '-I 4 2'
loop_
_atom_site_label
_atom_site_fract_x
_atom_site_fract_y
_atom_site_fract_z
Sc1 0.000 0.500 0.250
Cu1 0.000 0.000 0.000
Ir1 0.000 0.000 0.500



Entry 2:
# Sc2CuIr | OQMD | PBE | relaxed
# Magnetic moment = 0.00 μB/atom
# Calculated formation energy = -0.668 eV per atom
# DFT total energy = -6.98 eV per atom
data_Sc2CuIr
_cell_length_a 6.642
_cell_length_b 6.489
_cell_length_c 6.217
_cell_angle_alpha 90.00
_cell_angle_beta 90.00
_cell_angle_gamma 90.00
_symmetry_space_group_name_H-M 'P n m a'
_symmetry_Int_Tables_number 62
_symmetry_space_group_name_Hall '-P 2ac 2n'
loop_
_atom_site_label
_atom_site_fract_x
_atom_site_fract_y
_atom_site_fract_z
Sc1 0.250 0.001 0.250
Cu1 0.000 0.250 0.503
Ir1 0.000 0.250 0.999



Entry 3:
# ScCuSiIr | OQMD | PBE | relaxed
# Magnetic moment = 0.00 μB/atom
# DFT total energy = -6.63 eV per atom
data_ScCuSiIr
_cell_length_a 6.158
_cell_length_b 6.158
_cell_length_c 6.158
_cell_angle_alpha 90.00
_cell_angle_beta 90.00
_cell_angle_gamma 90.00
_symmetry_space_group_name_H-M 'F -4 3 m'
_symmetry_Int_Tables_number 216
_symmetry_space_group_name_Hall 'F -4 2 3'
loop_
_atom_site_label
_atom_site_fract_x
_atom_site_fract_y
_atom_site_fract_z
Sc1 0.000 0.000 0.000
Cu1 0.250 0.250 0.750
Si1 0.000 0.000 0.500
Ir1 0.250 0.250 0.250



Entry 4:
# ScCuSiIr | OQMD | PBE | relaxed
# Magnetic moment = 0.00 μB/atom
# DFT total energy = -6.34 eV per atom
data_ScCuSiIr
_cell_length_a 6.224
_cell_length_b 6.224
_cell_length_c 6.224
_cell_angle_alpha 90.00
_cell_angle_beta 90.00
_cell_angle_gamma 90.00
_symmetry_space_group_name_H-M 'F -4 3 m'
_symmetry_Int_Tables_number 216
_symmetry_space_group_name_Hall 'F -4 2 3'
loop_
_atom_site_label
_atom_site_fract_x
_atom_site_fract_y
_atom_site_fract_z
Sc1 0.000 0.000 0.000
Cu1 0.000 0.000 0.500
Si1 0.250 0.250 0.250
Ir1 0.250 0.250 0.750



Entry 5:
# ScZnCuIr | OQMD | PBE | relaxed
# Magnetic moment = 0.00 μB/atom
# Calculated formation energy = -0.447 eV per atom
# DFT total energy = -5.49 eV per atom
data_ScZnCuIr
_cell_length_a 6.251
_cell_length_b 6.251
_cell_length_c 6.251
_cell_angle_alpha 90.00
_cell_angle_beta 90.00
_cell_angle_gamma 90.00
_symmetry_space_group_name_H-M 'F -4 3 m'
_symmetry_Int_Tables_number 216
_symmetry_space_group_name_Hall 'F -4 2 3'
loop_
_atom_site_label
_atom_site_fract_x
_atom_site_fract_y
_atom_site_fract_z
Sc1 0.000 0.000 0.000
Zn1 0.000 0.000 0.500
Cu1 0.250 0.250 0.750
Ir1 0.250 0.250 0.250



Entry 6:
# ScZnCuIr | OQMD | PBE | relaxed
# Magnetic moment = 0.00 μB/atom
# Calculated formation energy = -0.312 eV per atom
# DFT total energy = -5.35 eV per atom
data_ScZnCuIr
_cell_length_a 6.260
_cell_length_b 6.260
_cell_length_c 6.260
_cell_angle_alpha 90.00
_cell_angle_beta 90.00
_cell_angle_gamma 90.00
_symmetry_space_group_name_H-M 'F -4 3 m'
_symmetry_Int_Tables_number 216
_symmetry_space_group_name_Hall 'F -4 2 3'
loop_
_atom_site_label
_atom_site_fract_x
_atom_site_fract_y
_atom_site_fract_z
Sc1 0.000 0.000 0.000
Zn1 0.250 0.250 0.250
Cu1 0.000 0.000 0.500
Ir1 0.250 0.250 0.750



Entry 7:
# CuIr3Se5 | OQMD | PBE | relaxed
# Magnetic moment = 0.00 μB/atom
# DFT total energy = -4.99 eV per atom
data_CuIr3Se5
_cell_length_a 5.7662
_cell_length_b 5.7662
_cell_length_c 6.8991
_cell_angle_alpha 90.00
_cell_angle_beta 90.00
_cell_angle_gamma 120.00
_symmetry_space_group_name_H-M 'P 6/m m m'
_symmetry_Int_Tables_number 191
_symmetry_space_group_name_Hall '-P 6 2'
loop_
_atom_site_label
_atom_site_fract_x
_atom_site_fract_y
_atom_site_fract_z
Cu1 0.0000 0.0000 0.0000
Ir1 0.0000 0.5000 0.5000
Se1 0.0000 0.0000 0.5000
Se2 0.3333 0.6667 0.2303



Entry 8:
# Cu3IrSe4 | OQMD | PBE | relaxed
# Magnetic moment = 0.00 μB/atom
# DFT total energy = -4.32 eV per atom
data_Cu3IrSe4
_cell_length_a 5.561
_cell_length_b 5.561
_cell_length_c 10.932
_cell_angle_alpha 90.00
_cell_angle_beta 90.00
_cell_angle_gamma 90.00
_symmetry_space_group_name_H-M 'I -4 2 m'
_symmetry_Int_Tables_number 121
_symmetry_space_group_name_Hall 'I -4 2'
loop_
_atom_site_label
_atom_site_fract_x
_atom_site_fract_y
_atom_site_fract_z
Cu1 0.000 0.000 0.000
Cu2 0.000 0.500 0.250
Ir1 0.000 0.000 0.500
Se1 0.248 0.248 0.625



Entry 9:
# CuSnIrSe3 | OQMD | PBE | relaxed
# Magnetic moment = 0.00 μB/atom
# DFT total energy = -4.48 eV per atom
data_CuSnIrSe3
_cell_length_a 9.585
_cell_length_b 2.959
_cell_length_c 8.680
_cell_angle_alpha 90.00
_cell_angle_beta 90.00
_cell_angle_gamma 90.00
_symmetry_space_group_name_H-M 'P m m a'
_symmetry_Int_Tables_number 51
_symmetry_space_group_name_Hall '-P 2a 2a'
loop_
_atom_site_label
_atom_site_fract_x
_atom_site_fract_y
_atom_site_fract_z
Cu1 0.250 0.000 0.167
Sn1 0.250 0.000 0.535
Ir1 0.000 0.000 0.000
Se1 0.029 0.000 0.288
Se2 0.250 0.000 0.894



Entry 10:
# TlCuTeIrSe2 | OQMD | PBE | relaxed
# Magnetic moment = 0.00 μB/atom
# DFT total energy = -4.34 eV per atom
data_TlCuTeIrSe2
_cell_length_a 3.783
_cell_length_b 15.034
_cell_length_c 10.119
_cell_angle_alpha 90.00
_cell_angle_beta 90.00
_cell_angle_gamma 90.00
_symmetry_space_group_name_H-M 'C m c m'
_symmetry_Int_Tables_number 63
_symmetry_space_group_name_Hall '-C 2c 2'
loop_
_atom_site_label
_atom_site_fract_x
_atom_site_fract_y
_atom_site_fract_z
Tl1 0.000 0.227 0.250
Cu1 0.000 0.448 0.750
Te1 0.000 0.071 0.750
Ir1 0.000 0.000 0.000
Se1 0.000 0.388 0.531



Entry 11:
# TlCu3IrSe4 | OQMD | PBE | relaxed
# Magnetic moment = 0.00 μB/atom
# DFT total energy = -4.00 eV per atom
data_TlCu3IrSe4
_cell_length_a 6.011
_cell_length_b 6.011
_cell_length_c 6.011
_cell_angle_alpha 90.00
_cell_angle_beta 90.00
_cell_angle_gamma 90.00
_symmetry_space_group_name_H-M 'P -4 3 m'
_symmetry_Int_Tables_number 215
_symmetry_space_group_name_Hall 'P -4 2 3'
loop_
_atom_site_label
_atom_site_fract_x
_atom_site_fract_y
_atom_site_fract_z
Tl1 0.000 0.000 0.000
Cu1 0.000 0.500 0.500
Ir1 0.500 0.500 0.500
Se1 0.270 0.270 0.270



Entry 12:
# TlCuIrSe3 | OQMD | PBE | relaxed
# Magnetic moment = 0.00 μB/atom
# DFT total energy = -4.49 eV per atom
data_TlCuIrSe3
_cell_length_a 7.856
_cell_length_b 3.834
_cell_length_c 9.878
_cell_angle_alpha 90.00
_cell_angle_beta 112.35
_cell_angle_gamma 90.00
_symmetry_space_group_name_H-M 'P 1 21/m 1'
_symmetry_Int_Tables_number 11
_symmetry_space_group_name_Hall '-P 2yb'
loop_
_atom_site_label
_atom_site_fract_x
_atom_site_fract_y
_atom_site_fract_z
Tl1 0.236 0.250 0.207
Cu1 0.427 0.250 0.903
Ir1 0.183 0.750 0.653
Se1 0.040 0.750 0.381
Se2 0.246 0.750 0.929
Se3 0.396 0.250 0.649